1.
Computed, not measured: CsHf2Mo after structural relaxation at the GGA-PBE level of DFT.

Geometry as POSCAR:
```
CsHf2Mo
1.0
0.000 3.573 3.573
3.573 0.000 3.573
3.573 3.573 0.000
Cs Hf Mo
1 2 1
direct
0.000 0.000 0.000
0.250 0.250 0.250
0.750 0.750 0.750
0.500 0.500 0.500
```

Properties
formation energy: 1.319 eV/atom
volume: 91 Å³/cell
Fermi-level density of states: 4.86 states/eV/cell

=====

2.
Computed, not measured: Cs2HfMo after structural relaxation at the GGA-PBE level of DFT.

Geometry as POSCAR:
```
Cs2HfMo
1.0
0.000 4.325 4.325
4.325 0.000 4.325
4.325 4.325 0.000
Cs Hf Mo
2 1 1
direct
0.250 0.250 0.250
0.750 0.750 0.750
0.000 0.000 0.000
0.500 0.500 0.500
```

Properties
formation energy: 2.200 eV/atom
volume: 162 Å³/cell
Fermi-level density of states: 8.09 states/eV/cell

=====

3.
Computed, not measured: CsHf2Mo after structural relaxation at the GGA-PBE level of DFT.

Geometry as POSCAR:
```
CsHf2Mo
1.0
-3.948 3.948 5.651
3.948 -3.948 5.651
3.948 3.948 -5.651
Cs Hf Mo
2 4 2
direct
0.375 0.625 0.750
0.625 0.375 0.250
0.000 0.000 0.000
0.000 0.000 0.500
0.000 0.500 0.000
0.500 0.000 0.500
0.125 0.875 0.250
0.875 0.125 0.750
```

Properties
formation energy: 1.373 eV/atom
volume: 352 Å³/cell
Fermi-level density of states: 9.68 states/eV/cell

=====

Which of these has the lowest Fermi-level density of states?
number 1

=====

Among the records above, which one has the lowest formation energy?
number 1

=====

Repeat the third record exactly.
Computed, not measured: CsHf2Mo after structural relaxation at the GGA-PBE level of DFT.

Geometry as POSCAR:
```
CsHf2Mo
1.0
-3.948 3.948 5.651
3.948 -3.948 5.651
3.948 3.948 -5.651
Cs Hf Mo
2 4 2
direct
0.375 0.625 0.750
0.625 0.375 0.250
0.000 0.000 0.000
0.000 0.000 0.500
0.000 0.500 0.000
0.500 0.000 0.500
0.125 0.875 0.250
0.875 0.125 0.750
```

Properties
formation energy: 1.373 eV/atom
volume: 352 Å³/cell
Fermi-level density of states: 9.68 states/eV/cell